Ca3Fe3As4O16 | GGA-PBEsol | relaxed

```
52
Lattice="-3.748 -2.962 1.587 0.101 -4.404 -7.982 10.182 -9.229 6.824" Properties=species:S:1:pos:R:3 pbc="T T T"
O 7.891 -9.497 6.723
Ca 0.000 0.000 0.000
O 5.238 -9.732 0.029
As 6.681 -8.872 -0.412
O 1.667 -5.920 3.950
O 3.024 -9.436 -1.714
O 6.552 -13.043 6.330
O -0.017 -3.552 -5.901
O 3.510 -7.159 2.143
O 3.261 -4.363 0.908
O 7.162 -12.160 0.855
Ca 7.276 -7.055 4.726
O 5.579 -14.358 0.185
O 3.120 -8.445 4.617
O -1.357 -7.099 -6.294
As -0.162 -3.401 0.887
O 3.414 -8.151 -4.188
O 2.323 -4.175 -1.757
Ca -0.741 -9.541 -4.297
As -0.147 -7.723 0.841
Fe 8.901 -11.239 0.692
Fe -1.824 -3.683 -3.197
As 5.491 -12.744 5.028
O 0.687 -4.326 2.080
As 2.266 -8.897 -3.144
O 1.543 -5.459 -4.497
O -1.436 -5.650 -2.991
Ca 0.694 -5.861 -2.024
O 6.379 -13.076 3.553
O 5.670 -8.593 3.293
Ca 5.841 -10.735 2.453
O 3.273 -12.232 -0.479
O 7.971 -10.946 3.420
O 4.868 -10.675 -3.521
Fe -2.366 -5.356 -0.263
O 0.955 -2.237 0.244
As 4.268 -7.699 3.573
O 2.831 -10.185 1.471
O -0.627 -4.435 -0.425
O 4.991 -11.137 4.927
Fe 2.189 -5.664 1.936
As 6.697 -13.194 -0.458
Ca 3.267 -8.298 0.215
O 5.848 -12.269 -1.651
Fe 4.346 -10.931 -1.507
O 1.297 -6.863 0.400
O 3.704 -6.410 -1.042
As 1.044 -3.851 -4.599
O 4.212 -12.420 2.186
O 0.156 -3.519 -3.123
O 0.865 -8.002 -2.864
Fe 5.091 -4.614 3.412
```

Computed properties:
- symmetry = P2_1/c
- total DFT energy (no corrections) (eV per cell) = -361.19
- DOS(E_F) (states/eV/atom) = 0.39